Arrangement a

VASP calculation (PBE) on a relaxed structure of Pu2ThRh.

CIF file:
```
data_Pu2ThRh
_chemical_formula_sum 'Pu6 Th3 Rh3'
_cell_length_a 3.4696
_cell_length_b 3.4696
_cell_length_c 30.8324
_cell_angle_alpha 90.00
_cell_angle_beta 90.00
_cell_angle_gamma 120.00
_symmetry_space_group_name_H-M 'R -3 m'
_symmetry_Int_Tables_number 166
_symmetry_space_group_name_Hall '-R 3 2"'
loop_
_atom_site_label
_atom_site_type_symbol
_atom_site_fract_x
_atom_site_fract_y
_atom_site_fract_z
_atom_site_occupancy
Pu1 Pu 0.0000 0.0000 0.1033 1
Th1 Th 0.0000 0.0000 0.0000 1
Rh1 Rh 0.0000 0.0000 0.5000 1
```

Calculated values
M_tot (μB/f.u.): 11.58
Crystal system: trigonal



Arrangement b

VASP calculation (PBE) on a relaxed structure of Pu2ThRh.

CIF file:
```
data_Pu2ThRh
_chemical_formula_sum 'Pu2 Th1 Rh1'
_cell_length_a 3.575
_cell_length_b 3.575
_cell_length_c 7.433
_cell_angle_alpha 90.00
_cell_angle_beta 90.00
_cell_angle_gamma 90.00
_symmetry_space_group_name_H-M 'P 4/m m m'
_symmetry_Int_Tables_number 123
_symmetry_space_group_name_Hall '-P 4 2'
loop_
_atom_site_label
_atom_site_type_symbol
_atom_site_fract_x
_atom_site_fract_y
_atom_site_fract_z
_atom_site_occupancy
Pu1 Pu 0.000 0.000 0.206 1
Th1 Th 0.500 0.500 0.500 1
Rh1 Rh 0.500 0.500 0.000 1
```

Calculated values
M_tot (μB/f.u.): 10.38
Crystal system: tetragonal



The energy of each structure relative to the most stable one, in meV per atom, is as follows: arrangement a 305; arrangement b 0.